A plane-wave DFT calculation with GGA-PBE was carried out for a relaxed CsSmSbSe3 crystal.

As for the volume: 37.55 Å³ per atom. For the energy, the calculation gives -52.96 eV per cell. Its density is 4.731 Mg/m³. As for the space group: Cmcm (63). Its total moment is 0.01 Bohr magnetons per cell.

```
CsSmSbSe3
1.0
-7.503 -2.306 3.209
5.597 -0.434 -6.355
5.157 -9.552 5.194
Sm Sb Cs Se
2 2 2 6
Direct
0.500 0.500 0.500
0.500 0.500 0.000
0.912 0.088 0.750
0.088 0.912 0.250
0.787 0.213 0.250
0.213 0.787 0.750
0.115 0.885 0.486
0.115 0.885 0.014
0.501 0.499 0.750
0.885 0.115 0.514
0.499 0.501 0.250
0.885 0.115 0.986
```